Material: SmHoEr4
Method: DFT, PBE
State: optimized geometry

Structure (POSCAR):
```
SmHoEr4
1.0
0.0000 4.6213 4.6213
4.6213 0.0000 4.6213
4.6213 4.6213 0.0000
Sm Ho Er
1 1 4
direct
0.0000 0.0000 0.0000 Sm
0.2500 0.2500 0.2500 Ho
0.1259 0.6247 0.6247 Er
0.6247 0.1259 0.6247 Er
0.6247 0.6247 0.1259 Er
0.6247 0.6247 0.6247 Er
```

Properties
E_tot in Ry/atom: -0.3170
Formation energy from the elements in meV per atom: 278.7
Crystal system: cubic